Entry 1:
Ac4GaTe3, optimized geometry, DFT GGA-PBE; D(E_F) = 3.53 states/eV/f.u.; calculated total energy = -78.08 eV per cell; symmetry = Cmmm (65); E_form (uncorrected) = -10.2 eV/f.u.
1.0
9.543 0.000 0.000
0.000 13.406 0.000
0.000 0.000 4.698
Ac Ga Te
8 2 6
direct
0.000 0.239 0.000
0.000 0.761 0.000
0.232 0.000 0.500
0.268 0.500 0.500
0.500 0.261 0.000
0.500 0.739 0.000
0.732 0.500 0.500
0.768 0.000 0.500
0.000 0.000 0.000
0.500 0.500 0.000
0.000 0.500 0.000
0.250 0.250 0.500
0.250 0.750 0.500
0.500 0.000 0.000
0.750 0.250 0.500
0.750 0.750 0.500



Entry 2:
DyYCu2, optimized geometry, DFT GGA-PBE; ΔE_f = -0.25 eV/atom; distance to the lowest polymorph of the same formula = 7 meV per atom; D(E_F) = 2.60 states/eV/f.u.; calculated total energy = -20.25 eV per cell; symmetry = P4/mmm (123)
1.0
3.469 0.000 0.000
0.000 3.469 0.000
0.000 0.000 6.965
Dy Y Cu
1 1 2
direct
0.000 0.000 0.000
0.000 0.000 0.500
0.500 0.500 0.245
0.500 0.500 0.755



Entry 3:
CsSe2S3, optimized geometry, DFT GGA-PBE; D(E_F) = 2.19 states/eV/f.u.; calculated total energy = -43.48 eV per cell; symmetry = P-1 (2); E_form (uncorrected) = -1.5 eV/f.u.
1.0
5.554 0.000 0.000
0.835 8.877 0.000
2.593 3.293 8.366
Cs Se S
2 4 6
direct
0.005 0.203 0.166
0.995 0.797 0.834
0.360 0.166 0.486
0.399 0.653 0.314
0.601 0.347 0.686
0.640 0.834 0.514
0.244 0.338 0.603
0.444 0.025 0.901
0.482 0.520 0.163
0.518 0.480 0.837
0.556 0.975 0.099
0.756 0.662 0.397



Entry 4:
NdTm2S3, optimized geometry, DFT GGA-PBE; D(E_F) = 2.51 states/eV/f.u.; calculated total energy = -75.60 eV per cell; symmetry = Immm (71); E_form (uncorrected) = -11.7 eV/f.u.
1.0
3.894 0.000 0.000
0.000 5.557 0.000
0.000 0.000 11.828
Nd Tm S
2 4 6
direct
0.000 0.000 0.000
0.500 0.500 0.500
0.000 0.000 0.340
0.000 0.000 0.660
0.500 0.500 0.160
0.500 0.500 0.840
0.000 0.500 0.000
0.000 0.500 0.320
0.000 0.500 0.680
0.500 0.000 0.180
0.500 0.000 0.500
0.500 0.000 0.820



Entry 5:
NbCr2Mo, optimized geometry, DFT GGA-PBE; ΔE_f = 0.74 eV/atom; distance to the lowest polymorph of the same formula = 720 meV per atom; D(E_F) = 4.58 states/eV/f.u.; calculated total energy = -148.76 eV per cell; symmetry = I-42d (122)
1.0
6.799 0.000 0.000
0.000 6.799 0.000
0.000 0.000 5.314
Nb Cr Mo
4 8 4
direct
0.000 0.000 0.000
0.000 0.500 0.250
0.500 0.000 0.750
0.500 0.500 0.500
0.237 0.250 0.625
0.250 0.737 0.875
0.250 0.763 0.375
0.263 0.250 0.125
0.737 0.750 0.125
0.750 0.237 0.375
0.750 0.263 0.875
0.763 0.750 0.625
0.000 0.000 0.500
0.000 0.500 0.750
0.500 0.000 0.250
0.500 0.500 0.000



Entry 6:
SiRh3, optimized geometry, DFT GGA-PBE; D(E_F) = 5.13 states/eV/f.u.; calculated total energy = -112.27 eV per cell; symmetry = Cmcm (63); E_form (uncorrected) = -0.6 eV/f.u.
1.0
8.011 0.000 0.000
0.000 7.640 0.000
0.000 0.000 3.936
Si Rh
4 12
direct
0.000 0.111 0.250
0.000 0.889 0.750
0.500 0.389 0.750
0.500 0.611 0.250
0.000 0.407 0.250
0.000 0.593 0.750
0.175 0.146 0.750
0.175 0.854 0.250
0.325 0.354 0.250
0.325 0.646 0.750
0.500 0.093 0.750
0.500 0.907 0.250
0.675 0.354 0.250
0.675 0.646 0.750
0.825 0.146 0.750
0.825 0.854 0.250